Record 1
CoAs3: relaxed, PBE.

The formation energy from the elements is 0.09 eV/atom. The final energy is -0.190 hartree per atom. The calculated volume is 17.22 Å³/atom. For the energy above the most stable polymorph in this dataset, the calculation gives 0.394 eV/atom.

a = 3.286 Å, b = 5.193 Å, c = 8.075 Å
α = 90.00°, β = 90.00°, γ = 90.00°
Sites, in units of the cell vectors:
Co1 0.250 0.250 0.178
Co2 0.750 0.750 0.822
As1 0.250 0.506 0.662
As2 0.250 0.750 0.046
As3 0.250 0.994 0.662
As4 0.750 0.006 0.338
As5 0.750 0.250 0.954
As6 0.750 0.494 0.338

---

Record 2
Co3As: relaxed, PBE.

The formation energy from the elements is 0.08 eV/atom. The final energy is -0.236 hartree per atom. The calculated volume is 11.83 Å³/atom.

a = 4.557 Å, b = 4.557 Å, c = 4.557 Å
α = 90.00°, β = 90.00°, γ = 90.00°
Sites, in units of the cell vectors:
Co1 0.000 0.250 0.500
Co2 0.000 0.750 0.500
Co3 0.250 0.500 0.000
Co4 0.500 0.000 0.250
Co5 0.500 0.000 0.750
Co6 0.750 0.500 0.000
As1 0.000 0.000 0.000
As2 0.500 0.500 0.500

---

Record 3
CoAs2: relaxed, PBE.

The formation energy from the elements is 0.65 eV/atom. The final energy is -0.177 hartree per atom. The calculated volume is 19.84 Å³/atom.

a = 5.077 Å, b = 5.077 Å, c = 10.664 Å
α = 90.00°, β = 90.00°, γ = 120.00°
Sites, in units of the cell vectors:
Co1 0.333 0.667 0.075
Co2 0.333 0.667 0.425
Co3 0.667 0.333 0.575
Co4 0.667 0.333 0.925
As1 0.000 0.000 0.000
As2 0.000 0.000 0.500
As3 0.164 0.328 0.250
As4 0.164 0.836 0.250
As5 0.328 0.164 0.750
As6 0.672 0.836 0.250
As7 0.836 0.164 0.750
As8 0.836 0.672 0.750

---

Record 4
CoAs2: relaxed, PBE.

The formation energy from the elements is -0.03 eV/atom. The final energy is -0.202 hartree per atom. The calculated volume is 16.82 Å³/atom.

a = 5.930 Å, b = 5.930 Å, c = 6.012 Å
α = 110.97°, β = 110.97°, γ = 30.95°
Sites, in units of the cell vectors:
Co1 0.000 0.000 0.000
Co2 0.578 0.578 0.415
As1 0.118 0.118 0.737
As2 0.210 0.210 0.318
As3 0.356 0.356 0.794
As4 0.911 0.911 0.287

---

What is the final energy in the second record?
-0.236 hartree per atom

---

The highest final energy belongs to which entry?
number 3